Ce6Ge3P PBE relaxed; E_tot = -0.4509 Ry/atom; space-group type = No. 14; ΔH_f (0 K) = -648 meV per atom
1.0
-5.1081 -0.7667 -2.8363
-3.6124 -1.8478 7.0053
-2.5024 10.4841 1.4751
P Ce Ge
2 12 6
direct
0.0000 0.0000 0.0000
0.5000 0.5000 0.5000
0.1262 0.0287 0.7551
0.6262 0.4713 0.2551
0.4116 0.8283 0.4285
0.8738 0.9713 0.2449
0.9052 0.6501 0.5656
0.5948 0.1501 0.9344
0.0884 0.3283 0.0715
0.0948 0.3499 0.4344
0.4052 0.8499 0.0656
0.5884 0.1717 0.5715
0.3738 0.5287 0.7449
0.9116 0.6717 0.9285
0.1083 0.6321 0.2453
0.8917 0.3679 0.7547
0.6083 0.8679 0.7453
0.0000 0.0000 0.5000
0.5000 0.5000 0.0000
0.3917 0.1321 0.2547

CeGeP3 PBE relaxed; E_tot = -0.4229 Ry/atom; space-group type = No. 57; ΔH_f (0 K) = -398 meV per atom
1.0
-4.6636 -2.4730 -2.1730
-1.4799 -1.5987 4.9955
-6.9241 11.5983 1.6607
Ge P Ce
4 12 4
direct
0.5000 0.2500 0.1528
0.0000 0.7500 0.8472
0.0000 0.2500 0.1528
0.5000 0.7500 0.8472
0.2500 0.5488 0.1004
0.5000 0.2500 0.4994
0.0000 0.7500 0.5006
0.2500 0.0488 0.8996
0.2500 0.5071 0.7273
0.7500 0.4512 0.8996
0.7500 0.4929 0.2727
0.7500 0.9929 0.7273
0.7500 0.9512 0.1004
0.0000 0.2500 0.4994
0.2500 0.0071 0.2727
0.5000 0.7500 0.5006
0.2500 0.5068 0.3378
0.2500 0.0068 0.6622
0.7500 0.4932 0.6622
0.7500 0.9932 0.3378

CeGeP2 PBE relaxed; energy relative to the lowest polymorph listed for this composition = 1.61 kcal/mol of atoms; E_tot = -0.4338 Ry/atom; space-group type = No. 62; ΔH_f (0 K) = -559 meV per atom
1.0
4.0873 0.0000 0.0000
0.0000 5.6482 0.0000
0.0000 0.0000 15.9007
Ce P Ge
4 8 4
direct
0.2500 0.7504 0.4179
0.2500 0.2504 0.0821
0.7500 0.7496 0.9179
0.7500 0.2496 0.5821
0.7500 0.2527 0.9529
0.2500 0.9112 0.8111
0.7500 0.0888 0.1889
0.2500 0.4112 0.6889
0.7500 0.7527 0.5471
0.7500 0.5888 0.3111
0.2500 0.2473 0.4529
0.2500 0.7473 0.0471
0.7500 0.6856 0.1546
0.2500 0.3144 0.8454
0.7500 0.1856 0.3454
0.2500 0.8144 0.6546

Ce8Ge5P PBE relaxed; E_tot = -0.4565 Ry/atom; space-group type = No. 82; ΔH_f (0 K) = -785 meV per atom
1.0
7.2706 0.0000 -2.5647
-3.5970 6.3154 -2.5723
-0.0766 0.0000 7.7093
Ge Ce P
5 8 1
direct
0.9951 0.3678 0.1193
0.3727 0.1243 0.0049
0.5000 0.0000 0.5000
0.7516 0.6322 0.6273
0.8807 0.8757 0.2484
0.9865 0.1145 0.7248
0.6103 0.8855 0.8720
0.7770 0.2567 0.3839
0.4797 0.6069 0.2230
0.2752 0.2617 0.3897
0.1280 0.7383 0.0135
0.6161 0.3931 0.8728
0.1272 0.7433 0.5203
0.2500 0.5000 0.7500

no.,total magnetization (μB/f.u.)
1,5.72
2,0.00
3,0.14
4,6.53